{"formula": "Y3GaIr8", "functional": "PBE", "state": "optimized geometry", "delta_e_f_kj_per_mol_fu": -662, "crystal_system": "trigonal", "dos_ef_per_ev_cell": 15.78, "final_energy_ev_per_fu": -100.163, "volume_a3_per_atom": 17.910, "total_magnetization_mub_per_cell": 0.0, "lattice_angstrom": [[1.093, -3.822, 3.568], [-1.682, -5.000, -0.842], [7.215, -4.728, -3.276]], "species": ["Y", "Y", "Y", "Ir", "Ir", "Ir", "Ir", "Ga", "Ir", "Ir", "Ir", "Ir"], "fractional_positions": [[0.007, 0.007, 0.978], [0.495, 0.495, 0.515], [0.624, 0.624, 0.128], [0.810, 0.810, 0.569], [0.562, 0.062, 0.815], [0.562, 0.562, 0.815], [0.311, 0.311, 0.067], [0.134, 0.134, 0.598], [0.061, 0.061, 0.316], [0.061, 0.561, 0.316], [0.062, 0.562, 0.815], [0.561, 0.061, 0.316]]}